The following is a DFT calculation (PBE) of a relaxed structure of Pr12Nd7Sm.

abc: 9.068 9.068 9.068
angles: 99.21 99.21 99.21
Atoms (fractional coordinates):
1 Pr 0.760 0.240 0.500
2 Pr 0.760 0.500 0.240
3 Pr 0.354 0.089 0.354
4 Pr 0.911 0.646 0.646
5 Pr 0.500 0.240 0.760
6 Pr 0.646 0.646 0.911
7 Pr 0.354 0.354 0.089
8 Pr 0.500 0.760 0.240
9 Pr 0.089 0.354 0.354
10 Pr 0.646 0.911 0.646
11 Pr 0.240 0.500 0.760
12 Pr 0.240 0.760 0.500
13 Nd 0.091 0.661 0.091
14 Nd 0.339 0.909 0.909
15 Nd 0.909 0.909 0.339
16 Nd 0.500 0.500 0.500
17 Nd 0.091 0.091 0.661
18 Nd 0.661 0.091 0.091
19 Nd 0.909 0.339 0.909
20 Sm 0.000 0.000 0.000

## Properties
ΔE_f = 0.0821 eV/atom
calculated total energy = -4.690 eV per atom

***

The following is a DFT calculation (PBE) of a relaxed structure of PrNd4Sm10.

abc: 11.469 9.044 9.044
angles: 66.29 50.65 50.65
Atoms (fractional coordinates):
1 Pr 0.000 0.000 0.000
2 Nd 0.560 0.633 0.247
3 Nd 0.807 0.753 0.633
4 Nd 0.193 0.247 0.367
5 Nd 0.440 0.367 0.753
6 Sm 0.250 0.500 0.500
7 Sm 0.712 0.347 0.897
8 Sm 0.941 0.103 0.347
9 Sm 0.391 0.897 0.653
10 Sm 0.956 0.653 0.103
11 Sm 0.288 0.653 0.103
12 Sm 0.750 0.500 0.500
13 Sm 0.044 0.347 0.897
14 Sm 0.609 0.103 0.347
15 Sm 0.059 0.897 0.653

## Properties
ΔE_f = 0.4083 eV/atom
calculated total energy = -4.328 eV per atom

***

The following is a DFT calculation (PBE) of a relaxed structure of Pr5Nd4Sm2.

abc: 3.541 9.053 12.432
angles: 96.82 98.19 90.00
Atoms (fractional coordinates):
1 Pr 0.140 0.115 0.281
2 Pr 0.860 0.885 0.719
3 Pr 0.230 0.823 0.461
4 Pr 0.500 0.000 0.000
5 Pr 0.770 0.177 0.539
6 Nd 0.677 0.472 0.355
7 Nd 0.046 0.363 0.092
8 Nd 0.323 0.528 0.645
9 Nd 0.954 0.637 0.908
10 Sm 0.910 0.268 0.819
11 Sm 0.090 0.732 0.181

## Properties
ΔE_f = 0.1270 eV/atom
calculated total energy = -4.637 eV per atom

***

The following is a DFT calculation (PBE) of a relaxed structure of PrNd3Sm2.

abc: 11.321 9.011 9.011
angles: 45.88 51.08 51.08
Each line ends with the local moment (μB).
Atoms (fractional coordinates):
1 Pr 0.000 0.500 0.500  0.00
2 Pr 0.000 0.000 0.000  0.00
3 Nd 0.500 0.250 0.750  0.08
4 Nd 0.500 0.750 0.250  0.08
5 Nd 0.236 0.014 0.514  0.01
6 Nd 0.764 0.486 0.986  0.01
7 Nd 0.764 0.986 0.486  0.01
8 Nd 0.236 0.514 0.014  0.01
9 Sm 0.947 0.297 0.297  0.00
10 Sm 0.541 0.203 0.203  0.00
11 Sm 0.459 0.797 0.797  0.00
12 Sm 0.053 0.703 0.703  0.00

## Properties
ΔE_f = 0.5376 eV/atom
calculated total energy = -4.216 eV per atom

***

The following is a DFT calculation (PBE) of a relaxed structure of Pr3Nd5Sm4.

abc: 6.109 8.768 9.933
angles: 106.15 72.09 69.61
Atoms (fractional coordinates):
1 Pr 0.518 0.690 0.273
2 Pr 0.000 0.500 0.500
3 Pr 0.482 0.310 0.727
4 Nd 0.624 0.950 0.802
5 Nd 0.500 0.500 0.500
6 Nd 0.215 0.458 0.112
7 Nd 0.785 0.542 0.888
8 Nd 0.376 0.050 0.198
9 Sm 0.860 0.223 0.058
10 Sm 0.166 0.046 0.623
11 Sm 0.834 0.954 0.377
12 Sm 0.140 0.777 0.942

## Properties
ΔE_f = 0.2011 eV/atom
calculated total energy = -4.553 eV per atom

***

The following is a DFT calculation (PBE) of a relaxed structure of Pr3NdSm2.

abc: 3.537 6.093 10.562
angles: 106.77 99.64 90.00
Atoms (fractional coordinates):
1 Pr 0.000 0.500 0.000
2 Pr 0.810 0.810 0.621
3 Pr 0.190 0.190 0.379
4 Nd 0.000 0.000 0.000
5 Sm 0.638 0.638 0.276
6 Sm 0.362 0.362 0.724

## Properties
ΔE_f = 0.3041 eV/atom
calculated total energy = -4.453 eV per atom

***

The following is a DFT calculation (PBE) of a relaxed structure of PrNd6Sm5.

abc: 12.135 6.349 6.350
angles: 60.01 84.96 79.88
Atoms (fractional coordinates):
1 Pr 0.000 0.000 0.000
2 Nd 0.749 0.083 0.334
3 Nd 0.251 0.583 0.334
4 Nd 0.251 0.250 0.000
5 Nd 0.749 0.750 0.000
6 Nd 0.749 0.417 0.666
7 Nd 0.251 0.917 0.666
8 Sm 0.500 0.167 0.666
9 Sm 0.000 0.333 0.333
10 Sm 0.500 0.500 0.000
11 Sm 0.000 0.667 0.667
12 Sm 0.500 0.833 0.334

## Properties
ΔE_f = 0.0126 eV/atom
calculated total energy = -4.736 eV per atom

***

The following is a DFT calculation (PBE) of a relaxed structure of Pr2Nd7Sm2.

abc: 8.421 6.986 6.986
angles: 86.87 78.79 78.79
Atoms (fractional coordinates):
1 Pr 0.823 0.416 0.416
2 Pr 0.177 0.584 0.584
3 Nd 0.176 0.099 0.509
4 Nd 0.824 0.491 0.901
5 Nd 0.824 0.901 0.491
6 Nd 0.176 0.509 0.099
7 Nd 0.000 0.000 0.000
8 Nd 0.479 0.714 0.714
9 Nd 0.521 0.286 0.286
10 Sm 0.500 0.202 0.798
11 Sm 0.500 0.798 0.202

## Properties
ΔE_f = 0.1640 eV/atom
calculated total energy = -4.597 eV per atom

***

The following is a DFT calculation (PBE) of a relaxed structure of PrNdSm6.

abc: 5.152 5.152 10.306
angles: 90.00 90.00 90.00
Atoms (fractional coordinates):
1 Pr 0.000 0.000 0.000
2 Nd 0.000 0.000 0.500
3 Sm 0.500 0.500 0.000
4 Sm 0.500 0.500 0.500
5 Sm 0.500 0.000 0.251
6 Sm 0.500 0.000 0.749
7 Sm 0.000 0.500 0.251
8 Sm 0.000 0.500 0.749

## Properties
ΔE_f = 0.0161 eV/atom
calculated total energy = -4.717 eV per atom

***

The following is a DFT calculation (PBE) of a relaxed structure of Pr4Nd3Sm8.

abc: 6.941 9.470 9.470
angles: 87.12 111.52 111.52
Atoms (fractional coordinates):
1 Pr 0.500 0.000 0.000
2 Pr 0.000 0.500 0.000
3 Pr 0.000 0.000 0.000
4 Pr 0.000 0.000 0.500
5 Nd 0.500 0.500 0.000
6 Nd 0.500 0.000 0.500
7 Nd 0.500 0.500 0.500
8 Sm 0.525 0.266 0.266
9 Sm 0.000 0.643 0.357
10 Sm 0.001 0.269 0.269
11 Sm 0.500 0.742 0.258
12 Sm 0.500 0.258 0.742
13 Sm 0.999 0.731 0.731
14 Sm 0.000 0.357 0.643
15 Sm 0.475 0.734 0.734

## Properties
ΔE_f = 0.3302 eV/atom
calculated total energy = -4.415 eV per atom

***

The following is a DFT calculation (PBE) of a relaxed structure of Pr2Nd3Sm2.

abc: 9.713 6.370 13.257
angles: 75.93 90.14 139.74
Atoms (fractional coordinates):
1 Pr 0.500 0.715 0.572
2 Pr 0.999 0.857 0.786
3 Pr 0.001 0.143 0.214
4 Pr 0.500 0.285 0.428
5 Nd 0.000 0.000 0.500
6 Nd 0.500 0.000 0.000
7 Nd 0.001 0.716 0.072
8 Nd 0.499 0.141 0.715
9 Nd 0.501 0.859 0.285
10 Nd 0.999 0.284 0.928
11 Sm 0.500 0.572 0.858
12 Sm 0.999 0.428 0.643
13 Sm 0.001 0.572 0.357
14 Sm 0.500 0.428 0.142

## Properties
ΔE_f = 0.0126 eV/atom
calculated total energy = -4.745 eV per atom

***

The following is a DFT calculation (PBE) of a relaxed structure of PrNdSm2.

abc: 3.682 3.682 11.829
angles: 90.00 90.00 60.00
Atoms (fractional coordinates):
1 Pr 0.000 0.000 0.000
2 Nd 0.000 0.000 0.500
3 Sm 0.667 0.667 0.251
4 Sm 0.333 0.333 0.749

## Properties
ΔE_f = -0.0027 eV/atom
calculated total energy = -4.749 eV per atom

***

The following is a DFT calculation (PBE) of a relaxed structure of PrNd3Sm4.

abc: 7.320 7.319 10.344
angles: 90.00 90.00 90.00
Atoms (fractional coordinates):
1 Pr 0.500 0.811 0.000
2 Pr 0.500 0.311 0.500
3 Nd 0.000 0.311 0.000
4 Nd 0.250 0.061 0.750
5 Nd 0.750 0.561 0.750
6 Nd 0.000 0.811 0.500
7 Nd 0.750 0.561 0.250
8 Nd 0.250 0.061 0.250
9 Sm 0.000 0.811 0.000
10 Sm 0.500 0.310 0.000
11 Sm 0.750 0.061 0.750
12 Sm 0.250 0.561 0.750
13 Sm 0.500 0.810 0.500
14 Sm 0.000 0.311 0.500
15 Sm 0.250 0.561 0.250
16 Sm 0.750 0.061 0.250

## Properties
ΔE_f = 0.0148 eV/atom
calculated total energy = -4.730 eV per atom

***

The following is a DFT calculation (PBE) of a relaxed structure of Pr3NdSm7.

abc: 6.504 7.842 7.842
angles: 81.51 86.08 86.08
Atoms (fractional coordinates):
1 Pr 0.000 0.826 0.174
2 Pr 0.500 0.000 0.000
3 Pr 0.000 0.174 0.826
4 Nd 0.500 0.500 0.500
5 Sm 0.789 0.238 0.238
6 Sm 0.739 0.918 0.573
7 Sm 0.261 0.427 0.082
8 Sm 0.739 0.573 0.918
9 Sm 0.000 0.500 0.500
10 Sm 0.261 0.082 0.427
11 Sm 0.211 0.762 0.762

## Properties
ΔE_f = 0.2116 eV/atom
calculated total energy = -4.528 eV per atom

***

The following is a DFT calculation (PBE) of a relaxed structure of Pr3Nd3Sm5.

abc: 5.596 9.809 9.809
angles: 120.00 90.00 90.00
Atoms (fractional coordinates):
1 Pr 0.000 0.581 0.000
2 Pr 0.000 0.000 0.581
3 Pr 0.000 0.419 0.419
4 Nd 0.500 0.732 0.000
5 Nd 0.500 0.268 0.268
6 Nd 0.500 0.000 0.732
7 Sm 0.500 0.667 0.333
8 Sm 0.500 0.333 0.667
9 Sm 0.500 0.366 0.000
10 Sm 0.500 0.634 0.634
11 Sm 0.500 0.000 0.366

## Properties
ΔE_f = 0.7010 eV/atom
calculated total energy = -4.048 eV per atom

***

The following is a DFT calculation (PBE) of a relaxed structure of PrNd3Sm.

abc: 5.539 7.473 8.608
angles: 90.00 90.00 90.00
Atoms (fractional coordinates):
1 Pr 0.750 0.250 0.263
2 Pr 0.250 0.750 0.737
3 Nd 0.750 0.750 0.053
4 Nd 0.250 0.250 0.947
5 Nd 0.750 0.040 0.746
6 Nd 0.750 0.460 0.746
7 Nd 0.250 0.960 0.254
8 Nd 0.250 0.540 0.254
9 Sm 0.750 0.750 0.439
10 Sm 0.250 0.250 0.561

## Properties
ΔE_f = 0.1707 eV/atom
calculated total energy = -4.590 eV per atom

***

The following is a DFT calculation (PBE) of a relaxed structure of Pr2Nd3Sm8.

abc: 6.246 11.870 8.920
angles: 131.71 72.69 90.00
Atoms (fractional coordinates):
1 Pr 0.651 0.710 0.420
2 Pr 0.349 0.290 0.580
3 Nd 0.500 0.000 0.000
4 Nd 0.000 0.241 0.000
5 Nd 0.000 0.759 0.000
6 Sm 0.779 0.444 0.888
7 Sm 0.221 0.556 0.112
8 Sm 0.050 0.844 0.688
9 Sm 0.950 0.156 0.312
10 Sm 0.323 0.917 0.346
11 Sm 0.323 0.429 0.346
12 Sm 0.677 0.571 0.654
13 Sm 0.677 0.083 0.654

## Properties
ΔE_f = 0.1533 eV/atom
calculated total energy = -4.586 eV per atom

***

The following is a DFT calculation (PBE) of a relaxed structure of PrNdSm2.

abc: 3.664 3.664 10.360
angles: 90.00 90.00 90.00
Atoms (fractional coordinates):
1 Pr 0.500 0.500 0.500
2 Nd 0.500 0.500 0.000
3 Sm 0.000 0.000 0.751
4 Sm 0.000 0.000 0.249

## Properties
ΔE_f = 0.0139 eV/atom
calculated total energy = -4.733 eV per atom

***

The following is a DFT calculation (PBE) of a relaxed structure of Pr12NdSm7.

abc: 10.153 10.153 10.153
angles: 109.47 109.47 109.47
Atoms (fractional coordinates):
1 Pr 0.498 0.749 0.749
2 Pr 0.000 0.749 0.251
3 Pr 0.502 0.251 0.251
4 Pr 0.000 0.251 0.749
5 Pr 0.749 0.000 0.251
6 Pr 0.749 0.498 0.749
7 Pr 0.251 0.000 0.749
8 Pr 0.251 0.502 0.251
9 Pr 0.749 0.749 0.498
10 Pr 0.251 0.251 0.502
11 Pr 0.749 0.251 0.000
12 Pr 0.251 0.749 0.000
13 Nd 0.000 0.000 0.000
14 Sm 0.500 0.500 0.000
15 Sm 0.000 0.500 0.500
16 Sm 0.500 0.000 0.500
17 Sm 0.500 0.500 0.500
18 Sm 0.000 0.000 0.500
19 Sm 0.500 0.000 0.000
20 Sm 0.000 0.500 0.000

## Properties
ΔE_f = 0.6077 eV/atom
calculated total energy = -4.150 eV per atom

***

The following is a DFT calculation (PBE) of a relaxed structure of PrNdSm.

abc: 3.676 3.676 8.229
angles: 102.91 102.91 90.00
Atoms (fractional coordinates):
1 Pr 0.001 0.001 0.002
2 Nd 0.332 0.332 0.664
3 Sm 0.667 0.667 0.334

## Properties
ΔE_f = 0.0156 eV/atom
calculated total energy = -4.740 eV per atom